Entry 1:
VASP calculation (PBE) on crystalline SiBiAs at its relaxed geometry.

Geometry as CIF:
```
data_SiBiAs
_space_group_name_H-M_alt 'P -1'
_space_group_IT_number 2
_space_group_name_Hall '-P 1'
_cell_length_a 3.4940
_cell_length_b 6.2933
_cell_length_c 8.5346
_cell_angle_alpha 94.74
_cell_angle_beta 101.19
_cell_angle_gamma 102.18
loop_
_atom_site_label
_atom_site_type_symbol
_atom_site_fract_x
_atom_site_fract_y
_atom_site_fract_z
Si1 Si 0.1904 0.0245 0.3551
Bi1 Bi 0.1429 0.2322 0.0886
As1 As 0.3991 0.2394 0.6220
```

Calculated values
Density of states at the Fermi level, states/eV per atom: 0.25
Total magnetization, Bohr magnetons per cell: 0.00
Calculated total energy, eV per atom: -4.559


Entry 2:
VASP calculation (PBE) on crystalline SiBi3As at its relaxed geometry.

Geometry as CIF:
```
data_SiBi3As
_space_group_name_H-M_alt 'P m -3 m'
_space_group_IT_number 221
_space_group_name_Hall '-P 4 2 3'
_cell_length_a 5.3845
_cell_length_b 5.3845
_cell_length_c 5.3845
_cell_angle_alpha 90.00
_cell_angle_beta 90.00
_cell_angle_gamma 90.00
loop_
_atom_site_label
_atom_site_type_symbol
_atom_site_fract_x
_atom_site_fract_y
_atom_site_fract_z
Si1 Si 0.0000 0.0000 0.0000
Bi1 Bi 0.0000 0.0000 0.5000
As1 As 0.5000 0.5000 0.5000
```

Calculated values
Density of states at the Fermi level, states/eV per atom: 1.27
Total magnetization, Bohr magnetons per cell: 0.00
Calculated total energy, eV per atom: -3.564


Entry 3:
VASP calculation (PBE) on crystalline SrSi2BiAs at its relaxed geometry.

Geometry as CIF:
```
data_SrSi2BiAs
_space_group_name_H-M_alt 'P 4/m m m'
_space_group_IT_number 123
_space_group_name_Hall '-P 4 2'
_cell_length_a 4.9686
_cell_length_b 4.9686
_cell_length_c 5.7593
_cell_angle_alpha 90.00
_cell_angle_beta 90.00
_cell_angle_gamma 90.00
loop_
_atom_site_label
_atom_site_type_symbol
_atom_site_fract_x
_atom_site_fract_y
_atom_site_fract_z
Sr1 Sr 0.0000 0.0000 0.0000
Si1 Si 0.0000 0.5000 0.5000
Bi1 Bi 0.5000 0.5000 0.0000
As1 As 0.0000 0.0000 0.5000
```

Calculated values
Density of states at the Fermi level, states/eV per atom: 0.37
Total magnetization, Bohr magnetons per cell: 0.00
Calculated total energy, eV per atom: -3.924


Entry 4:
VASP calculation (PBE) on crystalline Th4SiBi2As at its relaxed geometry.

Geometry as CIF:
```
data_Th4SiBi2As
_space_group_name_H-M_alt 'P 1 2/m 1'
_space_group_IT_number 10
_space_group_name_Hall '-P 2y'
_cell_length_a 7.5533
_cell_length_b 4.3723
_cell_length_c 7.8492
_cell_angle_alpha 90.00
_cell_angle_beta 108.78
_cell_angle_gamma 90.00
loop_
_atom_site_label
_atom_site_type_symbol
_atom_site_fract_x
_atom_site_fract_y
_atom_site_fract_z
Th1 Th 0.2343 0.0000 0.2158
Th2 Th 0.2568 0.5000 0.7830
Si1 Si 0.0000 0.5000 0.0000
Bi1 Bi 0.0000 0.0000 0.5000
Bi2 Bi 0.5000 0.5000 0.5000
As1 As 0.5000 0.0000 0.0000
```

Calculated values
Density of states at the Fermi level, states/eV per atom: 0.54
Total magnetization, Bohr magnetons per cell: 0.00
Calculated total energy, eV per atom: -6.782


Entry 5:
VASP calculation (PBE) on crystalline Th6Si2BiAs3 at its relaxed geometry.

Geometry as CIF:
```
data_Th6Si2BiAs3
_space_group_name_H-M_alt 'C 1 2/m 1'
_space_group_IT_number 12
_space_group_name_Hall '-C 2y'
_cell_length_a 18.7872
_cell_length_b 4.3053
_cell_length_c 8.6713
_cell_angle_alpha 90.00
_cell_angle_beta 102.87
_cell_angle_gamma 90.00
loop_
_atom_site_label
_atom_site_type_symbol
_atom_site_fract_x
_atom_site_fract_y
_atom_site_fract_z
Th1 Th 0.0043 0.0000 0.2716
Th2 Th 0.1689 0.5000 0.5800
Th3 Th 0.1747 0.5000 0.0968
Si1 Si 0.1673 0.0000 0.3342
Bi1 Bi 0.0000 0.5000 0.0000
As1 As 0.0000 0.5000 0.5000
As2 As 0.1622 0.0000 0.8345
```

Calculated values
Density of states at the Fermi level, states/eV per atom: 0.48
Total magnetization, Bohr magnetons per cell: 0.00
Calculated total energy, eV per atom: -7.106


Entry 6:
VASP calculation (PBE) on crystalline Tl2SiBiAs at its relaxed geometry.

Geometry as CIF:
```
data_Tl2SiBiAs
_space_group_name_H-M_alt 'P 4/m m m'
_space_group_IT_number 123
_space_group_name_Hall '-P 4 2'
_cell_length_a 5.3754
_cell_length_b 5.3754
_cell_length_c 5.7458
_cell_angle_alpha 90.00
_cell_angle_beta 90.00
_cell_angle_gamma 90.00
loop_
_atom_site_label
_atom_site_type_symbol
_atom_site_fract_x
_atom_site_fract_y
_atom_site_fract_z
Tl1 Tl 0.0000 0.5000 0.0000
Si1 Si 0.0000 0.0000 0.5000
Bi1 Bi 0.5000 0.5000 0.5000
As1 As 0.5000 0.5000 0.0000
```

Calculated values
Density of states at the Fermi level, states/eV per atom: 0.89
Total magnetization, Bohr magnetons per cell: 0.00
Calculated total energy, eV per atom: -2.957


> The highest density of states at the Fermi level belongs to which entry?

SiBi3As


> Look up the calculated total energy of the second one.

-3.564 eV per atom


> Which of these has the highest density of states at the Fermi level?

SiBi3As